The following is a PBE with a Hubbard U calculation of crystalline LiV2P2O8 at its relaxed geometry, from the Alexandria database.

Geometry as extended XYZ:
```
26
Lattice="10.356 0.000 0.000 0.000 4.834 -0.001 0.000 0.096 5.930" Properties=species:S:1:pos:R:3 pbc="T T T"
Li 2.561 2.440 1.375
Li 7.739 4.908 4.553
V 0.270 4.751 0.006
V 4.929 0.181 2.968
V 5.448 2.596 5.923
V 10.108 2.332 2.961
P 1.633 4.423 2.972
P 3.584 0.348 0.010
P 6.811 2.924 2.957
P 8.762 2.165 5.919
O 0.814 3.773 4.141
O 0.935 3.648 1.758
O 1.453 1.106 2.887
O 2.164 0.901 0.041
O 3.106 3.997 2.959
O 3.670 3.666 0.087
O 4.408 1.033 4.722
O 4.356 1.063 1.237
O 5.992 3.574 1.787
O 6.113 3.699 4.170
O 6.631 1.407 3.043
O 7.342 1.612 5.888
O 8.284 3.350 2.969
O 8.848 3.681 5.842
O 9.586 1.480 1.208
O 9.535 1.450 4.693
```

Values from the calculation:
- space group = P2_1, No. 4
- energy above the most stable polymorph in this dataset (meV per atom) = 0
- DFT total energy (Ha/atom) = -0.2714
- density (g cm⁻³) = 3.34